Below is TlReAgTeSe2 after structural relaxation, with properties calculated at the GGA-PBE level.

Unit cell a=8.1786 b=8.1786 c=10.6417 alpha=90.00 beta=90.00 gamma=155.37
With the nearest neighbours (Å) after each atom.
Fractional positions:
Tl (0.2480, 0.7520, 0.7500)  2 Ag 3.19, 2 Te 3.47, 2 Tl 3.49, 2 Se 3.56
Tl (0.7520, 0.2480, 0.2500)  2 Ag 3.19, 2 Te 3.47, 2 Tl 3.49, 2 Se 3.56
Re (0.0000, 0.0000, 0.0000)  4 Se 2.55, 2 Te 2.85
Re (0.0000, 0.0000, 0.5000)  4 Se 2.55, 2 Te 2.85
Ag (0.4192, 0.5808, 0.2500)  2 Se 2.56
Ag (0.5808, 0.4192, 0.7500)  2 Se 2.56
Te (0.0642, 0.9358, 0.2500)  2 Re 2.85, 2 Ag 2.90
Te (0.9358, 0.0642, 0.7500)  2 Re 2.85, 2 Ag 2.90
Se (0.3838, 0.6162, 0.0152)  2 Re 2.55, 1 Ag 2.56
Se (0.3838, 0.6162, 0.4848)  2 Re 2.55, 1 Ag 2.56
Se (0.6162, 0.3838, 0.5152)  2 Re 2.55, 1 Ag 2.56
Se (0.6162, 0.3838, 0.9848)  2 Re 2.55, 1 Ag 2.56

Results
uncorrected energy	-4.525	eV/atom
space-group type	Cmcm (63)

***

Below is Y2Zr4Ga3C3 after structural relaxation, with properties calculated at the GGA-PBE level.

Unit cell a=5.8669 b=5.8669 c=14.8896 alpha=101.67 beta=101.67 gamma=60.04
With the nearest neighbours (Å) after each atom.
Fractional positions:
Y (0.0377, 0.8733, 0.6094)  3 C 2.53-2.55
Y (0.1267, 0.9623, 0.8906)  3 C 2.53-2.55
Y (0.8733, 0.0377, 0.1094)  3 C 2.53-2.55
Y (0.9623, 0.1267, 0.3906)  3 C 2.53-2.55
Zr (0.1940, 0.3569, 0.0836)  3 C 2.28-2.29
Zr (0.2995, 0.4779, 0.4164)  3 C 2.28-2.29
Zr (0.3569, 0.1940, 0.5836)  3 C 2.28-2.29
Zr (0.4779, 0.2995, 0.9164)  3 C 2.28-2.29
Zr (0.5221, 0.7005, 0.0836)  3 C 2.28-2.29
Zr (0.6431, 0.8060, 0.4164)  3 C 2.28-2.29
Zr (0.7005, 0.5221, 0.5836)  3 C 2.28-2.29
Zr (0.8060, 0.6431, 0.9164)  3 C 2.28-2.29
Ga (0.0854, 0.3896, 0.7506)  4 Ga 2.94-2.95, 4 Zr 2.94-2.95
Ga (0.3896, 0.0854, 0.2506)  4 Ga 2.94-2.95, 4 Zr 2.94-2.95
Ga (0.4382, 0.5618, 0.2500)  4 Ga 2.94-2.95, 4 Zr 2.95-2.96
Ga (0.5618, 0.4382, 0.7500)  4 Ga 2.94-2.95, 4 Zr 2.95-2.96
Ga (0.6104, 0.9146, 0.7494)  4 Ga 2.94-2.95, 4 Zr 2.94-2.95
Ga (0.9146, 0.6104, 0.2494)  4 Ga 2.94-2.95, 4 Zr 2.94-2.95
C (0.0000, 0.5000, 0.5000)  4 Zr 2.29, 2 Y 2.53
C (0.1714, 0.6572, 0.9999)  4 Zr 2.28-2.29, 2 Y 2.54-2.55
C (0.3428, 0.8286, 0.5001)  4 Zr 2.28-2.29, 2 Y 2.54-2.55
C (0.5000, 0.0000, 0.0000)  4 Zr 2.29, 2 Y 2.53
C (0.6572, 0.1714, 0.4999)  4 Zr 2.28-2.29, 2 Y 2.54-2.55
C (0.8286, 0.3428, 0.0001)  4 Zr 2.28-2.29, 2 Y 2.54-2.55

Results
uncorrected energy	-7.673	eV/atom
space-group type	C2/c (15)

***

Below is NiAgMoPb after structural relaxation, with properties calculated at the GGA-PBE level.

Unit cell a=4.5978 b=4.5978 c=4.5978 alpha=60.00 beta=60.00 gamma=60.00
With the nearest neighbours (Å) after each atom.
Fractional positions:
Ni (0.0000, 0.0000, 0.0000)  4 Pb 2.82, 4 Ag 2.82
Ag (0.2500, 0.2500, 0.2500)  4 Mo 2.82, 4 Ni 2.82
Mo (0.5000, 0.5000, 0.5000)  4 Pb 2.82, 4 Ag 2.82
Pb (0.7500, 0.7500, 0.7500)  4 Ni 2.82, 4 Mo 2.82

Results
uncorrected energy	-5.110	eV/atom
space-group type	F-43m (216)

***

Below is ZrPb after structural relaxation, with properties calculated at the GGA-PBE level.

Unit cell a=3.1927 b=5.3409 c=12.1096 alpha=90.00 beta=90.00 gamma=90.00
With the nearest neighbours (Å) after each atom.
Fractional positions:
Zr (0.2500, 0.2500, 0.0405)  10 Zr 3.13-3.26, 2 Pb 3.22
Zr (0.2500, 0.7500, 0.1822)  6 Zr 3.13-3.19, 6 Pb 3.29-3.41
Zr (0.7500, 0.2500, 0.8178)  6 Zr 3.13-3.19, 6 Pb 3.29-3.41
Zr (0.7500, 0.7500, 0.9595)  10 Zr 3.13-3.26, 2 Pb 3.22
Pb (0.2500, 0.2500, 0.5689)  8 Pb 3.19-3.53, 2 Zr 3.41
Pb (0.2500, 0.7500, 0.7288)  4 Pb 3.19-3.30, 6 Zr 3.22-3.29
Pb (0.7500, 0.2500, 0.2712)  4 Pb 3.19-3.30, 6 Zr 3.22-3.29
Pb (0.7500, 0.7500, 0.4311)  8 Pb 3.19-3.53, 2 Zr 3.41

Results
uncorrected energy	-6.113	eV/atom
space-group type	Pmmn (59)

***

Below is LiTlFeTc after structural relaxation, with properties calculated at the GGA-PBE level.

Unit cell a=4.3659 b=4.3659 c=4.3659 alpha=60.00 beta=60.00 gamma=60.00
With the nearest neighbours (Å) after each atom.
Fractional positions:
Li (0.0000, 0.0000, 0.0000)  4 Tl 2.67, 4 Tc 2.67
Tl (0.2500, 0.2500, 0.2500)  4 Fe 2.67, 4 Li 2.67
Fe (0.5000, 0.5000, 0.5000)  4 Tc 2.67, 4 Tl 2.67
Tc (0.7500, 0.7500, 0.7500)  4 Fe 2.67, 4 Li 2.67

Results
energy relative to the lowest polymorph listed for this composition	0.000	eV per atom
space-group type	F-43m (216)

***

Below is Li2ScSn2Pt after structural relaxation, with properties calculated at the GGA-PBE level.

Unit cell a=4.8045 b=4.8045 c=5.9063 alpha=90.00 beta=90.00 gamma=120.00
With the nearest neighbours (Å) after each atom.
Fractional positions:
Li (0.0000, 0.0000, 0.2333)  1 Li 2.76
Li (0.0000, 0.0000, 0.7667)  1 Li 2.76
Sc (0.3333, 0.6667, 0.5000)  5 Sn 2.77-2.95
Sn (0.3333, 0.6667, 0.0000)  3 Pt 2.77, 2 Sc 2.95, 6 Li 3.10
Sn (0.6667, 0.3333, 0.5000)  3 Sc 2.77, 2 Pt 2.95
Pt (0.6667, 0.3333, 0.0000)  5 Sn 2.77-2.95, 6 Li 3.10

Results
uncorrected energy	-4.483	eV/atom
space-group type	P-6m2 (187)

***

Below is Tb2LuIn3Pt2 after structural relaxation, with properties calculated at the GGA-PBE level.

Unit cell a=3.6254 b=7.6890 c=7.6890 alpha=119.81 beta=90.00 gamma=90.00
With the nearest neighbours (Å) after each atom.
Fractional positions:
Tb (0.0000, 0.2103, 0.7897)  4 Pt 2.95-2.96, 2 In 3.24
Tb (0.0000, 0.7897, 0.2103)  4 Pt 2.95-2.96, 2 In 3.24
Lu (0.0000, 0.6323, 0.6323)  4 Pt 2.89, 2 In 3.22
In (0.5000, 0.2124, 0.4409)  2 Pt 3.01-3.10, 2 In 3.04-3.09, 4 Tb 3.24-3.36, 2 Lu 3.34
In (0.5000, 0.4409, 0.2124)  2 Pt 3.01-3.10, 2 In 3.04-3.09, 4 Tb 3.24-3.36, 2 Lu 3.34
In (0.5000, 0.9777, 0.9777)  2 Pt 3.00, 2 In 3.09, 2 Lu 3.22, 4 Tb 3.34
Pt (0.5000, 0.5455, 0.8713)  2 Lu 2.89, 4 Tb 2.95-2.96, 3 In 3.00-3.10
Pt (0.5000, 0.8713, 0.5455)  2 Lu 2.89, 4 Tb 2.95-2.96, 3 In 3.00-3.10

Results
uncorrected energy	-5.145	eV/atom
space-group type	Amm2 (38)

***

Below is SiB2Au2 after structural relaxation, with properties calculated at the GGA-PBE level.

Unit cell a=4.9426 b=4.9426 c=4.9426 alpha=130.14 beta=130.14 gamma=73.19
With the nearest neighbours (Å) after each atom.
Fractional positions:
Si (0.0000, 0.0000, 0.0000)  8 Au 2.88, 10 B 3.06-3.14
B (0.3956, 0.3956, 0.0000)  1 B 1.66
B (0.6044, 0.6044, 0.0000)  1 B 1.66
Au (0.2500, 0.7500, 0.5000)  4 B 2.38
Au (0.7500, 0.2500, 0.5000)  4 B 2.38

Results
energy relative to the lowest polymorph listed for this composition	0.000	eV per atom
space-group type	I4/mmm (139)

***

Below is DyHgAsO after structural relaxation, with properties calculated at the GGA-PBE level.

Unit cell a=4.1615 b=4.1615 c=4.8133 alpha=90.00 beta=90.00 gamma=90.00
With the nearest neighbours (Å) after each atom.
Fractional positions:
Dy (0.0000, 0.0000, 0.0000)  2 O 2.41
Hg (0.5000, 0.5000, 0.5000)  2 As 2.41
As (0.5000, 0.5000, 0.0000)  2 Hg 2.41
O (0.0000, 0.0000, 0.5000)  2 Dy 2.41

Results
energy relative to the lowest polymorph listed for this composition	0.499	eV per atom
space-group type	P4/mmm (123)

***

Below is GdDy2Mg4Al2 after structural relaxation, with properties calculated at the GGA-PBE level.

Unit cell a=4.5765 b=7.5023 c=7.5023 alpha=120.24 beta=90.00 gamma=90.00
With the nearest neighbours (Å) after each atom.
Fractional positions:
Gd (0.0000, 0.0000, 0.0000)  4 Al 3.20, 3 Mg 3.26-3.28
Dy (0.0000, 0.1295, 0.5652)  4 Al 3.18, 3 Mg 3.26-3.29
Dy (0.0000, 0.5652, 0.1295)  4 Al 3.18, 3 Mg 3.26-3.29
Mg (0.0000, 0.5633, 0.5633)  6 Mg 2.95-2.96, 2 Dy 3.26, 1 Gd 3.26
Mg (0.5000, 0.3150, 0.3150)  2 Al 2.87, 2 Mg 2.95
Mg (0.5000, 0.5644, 0.8143)  2 Al 2.86, 2 Mg 2.96
Mg (0.5000, 0.8143, 0.5644)  2 Al 2.86, 2 Mg 2.96
Al (0.5000, 0.2326, 0.8980)  3 Mg 2.86-2.87, 4 Dy 3.18, 2 Gd 3.20
Al (0.5000, 0.8980, 0.2326)  3 Mg 2.86-2.87, 4 Dy 3.18, 2 Gd 3.20

Results
uncorrected energy	-3.289	eV/atom
space-group type	Amm2 (38)

***

Below is Nd4CI2Br2Cl after structural relaxation, with properties calculated at the GGA-PBE level.

Unit cell a=9.5882 b=9.5882 c=8.3266 alpha=101.42 beta=101.42 gamma=24.00
With the nearest neighbours (Å) after each atom.
Fractional positions:
Nd (0.0037, 0.0037, 0.2903)  2 C 2.66
Nd (0.3625, 0.3625, 0.4293)  1 C 2.53
Nd (0.6375, 0.6375, 0.5707)  1 C 2.53
Nd (0.9963, 0.9963, 0.7097)  2 C 2.66
C (0.5000, 0.5000, 0.5000)  6 Nd 2.53-2.66
I (0.1653, 0.1653, 0.8665)  3 Nd 3.13-3.18
I (0.8347, 0.8347, 0.1335)  3 Nd 3.13-3.18
Br (0.1704, 0.1704, 0.3272)  3 Nd 3.00-3.08
Br (0.8296, 0.8296, 0.6728)  3 Nd 3.00-3.08
Cl (0.5000, 0.5000, 0.0000)  4 Nd 3.12

Results
energy relative to the lowest polymorph listed for this composition	0.011	eV per atom
space-group type	C2/m (12)

***

Below is PrPb4I2 after structural relaxation, with properties calculated at the GGA-PBE level.

Unit cell a=4.8493 b=4.8493 c=9.5587 alpha=90.00 beta=90.00 gamma=90.00
With the nearest neighbours (Å) after each atom.
Fractional positions:
Pr (0.0000, 0.0000, 0.0000)  4 I 3.43, 8 Pb 3.50
Pb (0.0000, 0.5000, 0.2647)  4 I 3.31-3.50, 4 Pb 3.43, 2 Pr 3.50
Pb (0.0000, 0.5000, 0.7353)  4 I 3.31-3.50, 4 Pb 3.43, 2 Pr 3.50
Pb (0.5000, 0.0000, 0.2647)  4 I 3.31-3.50, 4 Pb 3.43, 2 Pr 3.50
Pb (0.5000, 0.0000, 0.7353)  4 I 3.31-3.50, 4 Pb 3.43, 2 Pr 3.50
I (0.0000, 0.0000, 0.5000)  8 Pb 3.31
I (0.5000, 0.5000, 0.0000)  4 Pr 3.43, 8 Pb 3.50

Results
uncorrected energy	-3.254	eV/atom
space-group type	P4/mmm (123)